This record from Alexandria via LeMat-Bulk describes an optimized crystal structure of NbSbTe2Pd. The functional is PBE.

Calculated values
The calculation puts the density at 6.22 g/cm³. For the density of states at the Fermi level, the calculation gives 0.94 states/eV/atom. Its crystal system is tetragonal. As for the total magnetization: 0.000 μB/atom. The value obtained for the total DFT energy (no corrections) is -4.604 eV/atom. The uncorrected formation energy comes out at 2.65 eV/f.u. For the volume, the calculation gives 154 Å³ per cell.

Cell lengths 5.348, 5.348, 5.383 Å; angles 90.00, 90.00, 90.00 degrees
Positions (direct):
Te  0.500  0.000  0.000
Te  0.000  0.500  0.000
Pd  0.500  0.500  0.500
Sb  0.000  0.000  0.500
Nb  0.000  0.000  0.000